(1)
A plane-wave DFT calculation with PBE-GGA was carried out for crystalline Nd8Mg2Co at its relaxed geometry.

Calculated values
Volume (Å³ per atom): 30.7
M_tot (μB/atom): 0.00
Space-group type: C2/m, No. 12
Formation energy (eV per atom): 0.016
E (eV/atom): -4.39

Unit cell a=5.753 b=7.102 c=9.338 alpha=110.29 beta=107.94 gamma=90.00
Sites, in units of the cell vectors:
Co: 0.500 0.000 0.000
Nd: 0.990 0.224 0.979
Nd: 0.638 0.916 0.277
Nd: 0.599 0.395 0.198
Nd: 0.197 0.243 0.394
Nd: 0.010 0.776 0.021
Mg: 0.817 0.307 0.633
Nd: 0.362 0.084 0.723
Nd: 0.401 0.605 0.802
Mg: 0.183 0.693 0.367
Nd: 0.803 0.757 0.606



(2)
A plane-wave DFT calculation with PBE-GGA was carried out for crystalline SrLa3Ta at its relaxed geometry.

Calculated values
Volume (Å³ per atom): 36.0
M_tot (μB/atom): 0.07
Space-group type: Pm-3m, No. 221
Formation energy (eV per atom): 1.741
E (eV/atom): -3.92

Unit cell a=5.646 b=5.646 c=5.646 alpha=90.00 beta=90.00 gamma=90.00
Sites, in units of the cell vectors:
La: 0.000 0.500 0.000
La: 0.000 0.000 0.500
Ta: 0.500 0.500 0.500
Sr: 0.000 0.000 0.000
La: 0.500 0.000 0.000



(3)
A plane-wave DFT calculation with PBE-GGA was carried out for crystalline CeThNiPd at its relaxed geometry.

Calculated values
Volume (Å³ per atom): 22.2
M_tot (μB/atom): 0.21
Space-group type: F-43m, No. 216
Formation energy (eV per atom): -0.406
E (eV/atom): -6.49

Unit cell a=5.007 b=5.007 c=5.007 alpha=60.00 beta=60.00 gamma=60.00
Sites, in units of the cell vectors:
Ce: 0.000 0.000 0.000
Ni: 0.250 0.250 0.250
Th: 0.500 0.500 0.500
Pd: 0.750 0.750 0.750



(4)
A plane-wave DFT calculation with PBE-GGA was carried out for crystalline CaLa2Cr at its relaxed geometry.

Calculated values
Volume (Å³ per atom): 32.1
M_tot (μB/atom): 0.95
Space-group type: P4/mmm, No. 123
Formation energy (eV per atom): 0.377
E (eV/atom): -4.99

Unit cell a=5.527 b=5.531 c=4.197 alpha=90.00 beta=90.00 gamma=90.00
Sites, in units of the cell vectors:
Cr: 0.000 0.500 0.500
La: 0.000 0.000 0.000
Ca: 0.500 0.000 0.500
La: 0.500 0.500 0.000



(5)
A plane-wave DFT calculation with PBE-GGA was carried out for crystalline NaTePbBr at its relaxed geometry.

Calculated values
Volume (Å³ per atom): 33.3
M_tot (μB/atom): 0.00
Space-group type: R3m, No. 160
ΔE_f (raw) (eV per atom): -0.90
E (eV/atom): -3.36

Unit cell a=4.498 b=4.498 c=8.041 alpha=73.76 beta=73.76 gamma=60.00
Sites, in units of the cell vectors:
Br: 0.761 0.761 0.718
Na: 0.492 0.492 0.523
Pb: 0.994 0.994 0.018
Te: 0.253 0.253 0.242



(6)
A plane-wave DFT calculation with PBE-GGA was carried out for crystalline Ba6GaBr5 at its relaxed geometry.

Calculated values
Volume (Å³ per atom): 39.6
M_tot (μB/atom): 0.00
Space-group type: C2/m, No. 12
ΔE_f (raw) (eV per atom): -1.43
E (eV/atom): -3.34

Unit cell a=8.317 b=8.389 c=8.348 alpha=59.84 beta=80.47 gamma=70.75
Sites, in units of the cell vectors:
Br: 0.000 0.335 0.330
Ba: 0.758 0.764 0.000
Ba: 0.242 0.236 0.000
Ga: 0.000 0.000 0.000
Ba: 0.238 0.921 0.682
Ba: 0.762 0.079 0.318
Br: 0.500 0.829 0.342
Ba: 0.762 0.397 0.682
Ba: 0.238 0.603 0.318
Br: 0.000 0.665 0.670
Br: 0.500 0.500 0.000
Br: 0.500 0.171 0.658



(7)
A plane-wave DFT calculation with PBE-GGA was carried out for crystalline PPt3W at its relaxed geometry.

Calculated values
Volume (Å³ per atom): 22.6
M_tot (μB/atom): 0.00
Space-group type: Pm-3m, No. 221
Formation energy (eV per atom): 1.491
E (eV/atom): -5.81

Unit cell a=4.835 b=4.835 c=4.835 alpha=90.00 beta=90.00 gamma=90.00
Sites, in units of the cell vectors:
P: 0.500 0.500 0.500
Pt: 0.000 0.000 0.500
Pt: 0.500 0.000 0.000
W: 0.000 0.000 0.000
Pt: 0.000 0.500 0.000



(8)
A plane-wave DFT calculation with PBE-GGA was carried out for crystalline PmNdBiCl at its relaxed geometry.

Calculated values
Volume (Å³ per atom): 27.9
M_tot (μB/atom): 0.01
Space-group type: F-43m, No. 216
ΔE_f (raw) (eV per atom): -1.05
E (eV/atom): -4.86

Unit cell a=5.404 b=5.404 c=5.404 alpha=60.00 beta=60.00 gamma=60.00
Sites, in units of the cell vectors:
Bi: 0.750 0.750 0.750
Nd: 0.000 0.000 0.000
Cl: 0.250 0.250 0.250
Pm: 0.500 0.500 0.500



(9)
A plane-wave DFT calculation with PBE-GGA was carried out for crystalline Sr4AgH at its relaxed geometry.

Calculated values
Volume (Å³ per atom): 37.9
M_tot (μB/atom): 0.00
Space-group type: P2_1/m, No. 11
E (eV/atom): -2.35

Unit cell a=6.682 b=8.808 c=10.218 alpha=90.00 beta=90.00 gamma=130.80
Sites, in units of the cell vectors:
Sr: 0.394 0.229 0.250
Sr: 0.609 0.837 0.250
Ag: 0.004 0.400 0.250
H: 0.997 0.130 0.750
Sr: 0.391 0.163 0.750
H: 0.003 0.870 0.250
Sr: 0.606 0.771 0.750
Sr: 0.001 0.720 0.043
Sr: 0.999 0.280 0.543
Sr: 0.999 0.280 0.957
Sr: 0.001 0.720 0.457
Ag: 0.996 0.600 0.750



(10)
A plane-wave DFT calculation with PBE-GGA was carried out for crystalline Cd2FeSb at its relaxed geometry.

Calculated values
Volume (Å³ per atom): 21.1
M_tot (μB/atom): 0.67
Space-group type: P4/mmm, No. 123
ΔE_f (raw) (eV per atom): 0.31
E (eV/atom): -3.30

Unit cell a=3.059 b=3.059 c=9.026 alpha=90.00 beta=90.00 gamma=90.00
Sites, in units of the cell vectors:
Cd: 0.000 0.000 0.048
Cd: 0.000 0.000 0.452
Sb: 0.500 0.500 0.750
Fe: 0.500 0.500 0.250



(11)
A plane-wave DFT calculation with PBE-GGA was carried out for crystalline Pm4Nd3Ho2 at its relaxed geometry.

Calculated values
Volume (Å³ per atom): 34.4
M_tot (μB/atom): 0.00
Space-group type: P3m1, No. 156
Formation energy (eV per atom): 0.069
E (eV/atom): -4.65

Unit cell a=3.634 b=3.634 c=27.048 alpha=90.00 beta=90.00 gamma=120.00
Sites, in units of the cell vectors:
Ho: 0.667 0.333 0.873
Pm: 0.667 0.333 0.434
Ho: 0.667 0.333 0.088
Pm: 0.000 0.000 0.768
Nd: 0.000 0.000 0.983
Nd: 0.000 0.000 0.320
Pm: 0.667 0.333 0.213
Nd: 0.667 0.333 0.655
Pm: 0.000 0.000 0.543



(12)
A plane-wave DFT calculation with PBE-GGA was carried out for crystalline HfZnGe at its relaxed geometry.

Calculated values
Volume (Å³ per atom): 18.6
M_tot (μB/atom): 0.00
Space-group type: R3m, No. 160
Formation energy (eV per atom): -0.017
E (eV/atom): -5.30

Unit cell a=4.464 b=4.464 c=6.973 alpha=71.34 beta=71.34 gamma=60.02
Sites, in units of the cell vectors:
Zn: 0.320 0.941 0.120
Hf: 0.608 0.229 0.254
Ge: 0.862 0.483 0.495
Hf: 0.454 0.074 0.720
Zn: 0.024 0.645 0.008
Ge: 0.186 0.807 0.523



(13)
A plane-wave DFT calculation with PBE-GGA was carried out for crystalline NdScSe2 at its relaxed geometry.

Calculated values
Volume (Å³ per atom): 23.7
M_tot (μB/atom): 0.00
Space-group type: R3m, No. 160
ΔE_f (raw) (eV per atom): -1.71
E (eV/atom): -6.23

Unit cell a=3.961 b=3.961 c=7.351 alpha=74.37 beta=74.37 gamma=60.00
Sites, in units of the cell vectors:
Se: 0.259 0.259 0.222
Se: 0.073 0.073 0.781
Sc: 0.672 0.672 0.984
Nd: 0.496 0.496 0.512



(14)
A plane-wave DFT calculation with PBE-GGA was carried out for crystalline ThMgSi2Ni5 at its relaxed geometry.

Calculated values
Volume (Å³ per atom): 14.9
M_tot (μB/atom): 0.00
Space-group type: P4/mmm, No. 123
ΔE_f (raw) (eV per atom): -0.39
E (eV/atom): -5.81

Unit cell a=4.042 b=4.042 c=8.192 alpha=90.00 beta=90.00 gamma=90.00
Sites, in units of the cell vectors:
Mg: 0.000 0.000 0.000
Si: 0.500 0.500 0.142
Ni: 0.500 0.000 0.267
Ni: 0.000 0.500 0.733
Ni: 0.500 0.500 0.500
Ni: 0.500 0.000 0.733
Ni: 0.000 0.500 0.267
Si: 0.500 0.500 0.858
Th: 0.000 0.000 0.500



(15)
A plane-wave DFT calculation with PBE-GGA was carried out for crystalline LaScZn at its relaxed geometry.

Calculated values
Volume (Å³ per atom): 26.3
M_tot (μB/atom): 0.00
Space-group type: P4/nmm, No. 129
Formation energy (eV per atom): -0.204
E (eV/atom): -4.38

Unit cell a=4.662 b=4.662 c=7.246 alpha=90.00 beta=90.00 gamma=90.00
Sites, in units of the cell vectors:
Zn: 0.000 0.500 0.718
Zn: 0.500 0.000 0.282
Sc: 0.500 0.500 0.500
La: 0.000 0.500 0.129
Sc: 0.000 0.000 0.500
La: 0.500 0.000 0.871



(16)
A plane-wave DFT calculation with PBE-GGA was carried out for crystalline Li2MnCr at its relaxed geometry.

Calculated values
Volume (Å³ per atom): 12.2
M_tot (μB/atom): 0.01
Space-group type: P2/m, No. 10
Formation energy (eV per atom): 0.415
E (eV/atom): -5.24

Unit cell a=4.608 b=2.321 c=4.664 alpha=78.43 beta=90.00 gamma=90.00
Sites, in units of the cell vectors:
Li: 0.000 0.005 0.003
Li: 0.000 0.495 0.497
Mn: 0.500 0.250 0.250
Cr: 0.500 0.750 0.750



(17)
A plane-wave DFT calculation with PBE-GGA was carried out for crystalline Ga4Pt4Rh5 at its relaxed geometry.

Calculated values
Volume (Å³ per atom): 14.7
M_tot (μB/atom): 0.00
Space-group type: I4/m, No. 87
Formation energy (eV per atom): -0.450
E (eV/atom): -6.07

Unit cell a=4.116 b=7.125 c=7.125 alpha=85.22 beta=73.21 gamma=73.21
Sites, in units of the cell vectors:
Ga: 0.114 0.120 0.652
Rh: 0.594 0.727 0.085
Ga: 0.234 0.652 0.880
Rh: 0.321 0.085 0.273
Pt: 0.393 0.713 0.502
Rh: 0.406 0.273 0.915
Pt: 0.894 0.498 0.713
Ga: 0.886 0.880 0.348
Pt: 0.106 0.502 0.287
Pt: 0.607 0.287 0.498
Ga: 0.766 0.348 0.120
Rh: 0.679 0.915 0.727
Rh: 0.000 0.000 0.000



(18)
A plane-wave DFT calculation with PBE-GGA was carried out for crystalline Y2GeB2Rh5 at its relaxed geometry.

Calculated values
Volume (Å³ per atom): 14.5
M_tot (μB/atom): 0.00
Space-group type: P4/mbm, No. 127
Formation energy (eV per atom): -0.791
E (eV/atom): -7.56

Unit cell a=3.257 b=9.424 c=9.424 alpha=90.00 beta=90.00 gamma=90.00
Sites, in units of the cell vectors:
Rh: 0.500 0.782 0.930
B: 0.000 0.379 0.121
B: 0.000 0.879 0.379
Rh: 0.500 0.930 0.218
Y: 0.000 0.676 0.176
Rh: 0.500 0.282 0.570
B: 0.000 0.621 0.879
Rh: 0.500 0.218 0.070
Rh: 0.500 0.430 0.282
Rh: 0.500 0.718 0.430
Ge: 0.000 0.500 0.500
Rh: 0.500 0.000 0.500
Y: 0.000 0.824 0.676
Rh: 0.500 0.070 0.782
B: 0.000 0.121 0.621
Y: 0.000 0.324 0.824
Ge: 0.000 0.000 0.000
Rh: 0.500 0.500 0.000
Y: 0.000 0.176 0.324
Rh: 0.500 0.570 0.718



(19)
A plane-wave DFT calculation with PBE-GGA was carried out for crystalline TaSb2P at its relaxed geometry.

Calculated values
Volume (Å³ per atom): 20.3
M_tot (μB/atom): 0.00
Space-group type: Cmmm, No. 65
ΔE_f (raw) (eV per atom): 0.48
E (eV/atom): -5.90

Unit cell a=4.954 b=4.954 c=3.394 alpha=90.00 beta=90.00 gamma=103.12
Sites, in units of the cell vectors:
Sb: 0.000 0.500 0.000
P: 0.500 0.500 0.500
Ta: 0.000 0.000 0.500
Sb: 0.500 0.000 0.000



(20)
A plane-wave DFT calculation with PBE-GGA was carried out for crystalline CdNi2As at its relaxed geometry.

Calculated values
Volume (Å³ per atom): 15.9
M_tot (μB/atom): 0.00
Space-group type: R3m, No. 160
Formation energy (eV per atom): 0.159
E (eV/atom): -4.12

Unit cell a=8.644 b=8.644 c=8.644 alpha=19.61 beta=19.61 gamma=19.61
Sites, in units of the cell vectors:
Ni: 0.989 0.989 0.989
Ni: 0.251 0.251 0.251
Cd: 0.740 0.740 0.740
As: 0.520 0.520 0.520